DFT (PBEsol) results for a geometry-optimized RuRh structure.

Results
**V**: 13.4 A^3/atom
**E**: -9.10 eV per atom

a b c (Å): 2.6607 2.6607 13.0849
angles (deg): 90.00 90.00 120.00
Closest atoms and distances in Å follow each position.
Space group R-3m (No. 166, hexagonal axes)
Symmetry-distinct sites (fractional):
1 Ru 0.0000 0.0000 0.0000 [3 per cell]  6 Ru 2.66, 6 Rh 2.67
2 Rh 0.0000 0.0000 0.5000 [3 per cell]  6 Rh 2.66, 6 Ru 2.67